This record from Alexandria via LeMat-Bulk describes crystalline YNiOs at its relaxed geometry. The functional is PBE.

Values from the calculation:
The value obtained for the energy above the most stable polymorph in this dataset is 170 meV per atom. For the total magnetization, the calculation gives 0.0 Bohr magnetons per cell. The total energy comes out at -8.016 eV per atom. Its energy of formation from the pure elements is -0.19 eV/atom. The density of states at the Fermi level is 2.281 states/eV/f.u. The density comes out at 9.9 g cm⁻³. Its space group is C2/m, No. 12.

a = 5.431 Å, b = 4.146 Å, c = 10.585 Å
α = 90.00°, β = 108.05°, γ = 90.00°
Fractional coordinates of all 12 atoms:
Ni: 0.620 0.000 0.792
Ni: 0.380 0.000 0.208
Ni: 0.620 0.500 0.292
Ni: 0.380 0.500 0.708
Os: 0.197 0.000 0.594
Os: 0.803 0.000 0.406
Os: 0.197 0.500 0.094
Os: 0.803 0.500 0.906
Y: 0.808 0.500 0.616
Y: 0.192 0.500 0.384
Y: 0.808 0.000 0.116
Y: 0.192 0.000 0.884